Compound: PmAgBi
Source: Alexandria
Functional: PBE
Structure: optimized geometry

space-group type: F-43m
polymorph energy (0 for the lowest one): 46.9 meV/atom
ΔH_f (0 K): -402 meV per atom
final energy: -4.23 eV/atom
crystal system: cubic

Lattice parameters (Å, degrees): 4.965 4.965 4.965 60.00 60.00 60.00
Positions (direct):
Pm 0.000 0.000 0.000
Ag 0.250 0.250 0.250
Bi 0.500 0.500 0.500